Entry 1:
20
Lattice="7.983 0.000 0.000 0.000 7.121 0.000 -7.730 0.000 10.726" Properties=species:S:1:pos:R:3 comment="Tb3NdAl (PBE, relaxed)" e_tot_ev_per_cell=-90.33 space_group="P2_1/c, No. 14" vol_a3_per_atom=30.49 e_form_ev_per_atom=-0.036 magmom_total_mub_per_fu=0.000 dos_ef_per_ev_fu=6.0 pbc="T T T"
Tb -2.742 0.730 3.999
Tb -6.607 2.830 9.362
Tb -1.647 5.147 6.510
Tb 2.217 5.536 1.147
Tb -3.413 4.774 9.469
Tb 0.451 5.908 4.106
Tb -0.198 1.213 6.620
Tb 3.667 2.347 1.257
Tb -1.964 1.586 9.580
Tb 1.901 1.975 4.217
Tb 6.860 4.291 1.364
Tb 2.996 6.391 6.728
Nd -0.140 1.024 1.509
Nd -4.004 2.537 6.872
Nd 4.258 4.584 3.854
Nd 0.393 6.098 9.217
Al -4.823 0.411 9.658
Al -0.958 3.150 4.295
Al 1.212 3.971 6.431
Al 5.077 6.711 1.068


Entry 2:
4
Lattice="1.895 1.094 12.521 -1.895 1.094 12.521 0.000 -2.188 12.521" Properties=species:S:1:pos:R:3 comment="SrPrNd2 (PBE, relaxed)" e_tot_ev_per_cell=-15.66 space_group="R3m, No. 160" vol_a3_per_atom=38.94 e_form_ev_per_atom=0.084 magmom_total_mub_per_fu=0.000 dos_ef_per_ev_fu=6.2 pbc="T T T"
Sr 0.000 0.000 0.000
Pr 0.000 0.000 31.331
Nd 0.000 0.000 9.212
Nd 0.000 0.000 15.864